No. 1
# CaPmEu

A geometry-optimized CaPmEu structure (PBE-GGA, Alexandria).

total magnetic moment: 15.4 μB per cell
DFT formation energy: 0.07 eV per atom

Lattice parameters (Å, degrees): 3.7770 3.7770 16.2658 90.00 90.00 90.00
Space group I4mm (No. 107)
Asymmetric unit:
Ca1 0.0000 0.0000 0.0000 [2 per cell]
Pm1 0.0000 0.0000 0.3371 [2 per cell]
Eu1 0.0000 0.0000 0.6787 [2 per cell]



No. 2
# PrEu2I

A geometry-optimized PrEu2I structure (PBE-GGA, Alexandria).

formation energy without anion corrections: -0.475 eV/atom
total magnetic moment: 14.8 μB per cell

Lattice parameters (Å, degrees): 3.8326 3.8326 10.3343 90.00 90.00 90.00
Space group P4/mmm (No. 123)
Asymmetric unit:
Pr1 0.0000 0.0000 0.0000 [1 per cell]
Eu1 0.5000 0.5000 0.2722 [2 per cell]
I1 0.0000 0.0000 0.5000 [1 per cell]



| no. | calculated volume (Å³/atom) | offset from the most stable computed form (eV per formula unit) | VASP energy (eV per atom) |
| --- | --- | --- | --- |
| 1 | 38.67 | 0.02 | -5.61 |
| 2 | 37.95 | 0.17 | -7.19 |